! Ga2CoSn (PBE, relaxed); values from VASP
&SYSTEM
  ibrav = 0, nat = 8, ntyp = 3
/
ATOMIC_SPECIES
Co 58.93 Co.upf
Sn 118.71 Sn.upf
Ga 69.72 Ga.upf
ATOMIC_POSITIONS crystal
Co 0.500 0.500 0.000
Co 0.250 0.750 0.500
Sn 0.000 0.000 0.000
Sn 0.750 0.250 0.500
Ga 0.521 0.125 0.250
Ga 0.229 0.625 0.250
Ga 0.375 0.479 0.750
Ga 0.875 0.771 0.750
CELL_PARAMETERS angstrom
-1.052 -3.012 -7.436
4.009 -6.694 2.144
-0.608 -5.875 -1.936
! Space-group type: I-42d
! Magnetization in μB/f.u.: 0.00
! Total DFT energy (no corrections) in eV per atom: -4.15
! Energy relative to the elements in eV per atom: 0.1450
! V in Å³/f.u.: 80